{
  "formula": "YBi5",
  "functional": "GGA-PBE",
  "state": "optimized geometry",
  "magnetic_moment_mub_per_fu": 0.00,
  "formation_energy_ev_per_atom": -0.218,
  "dos_ef_per_ev_cell": 3.39,
  "lattice_angstrom": [[-2.788, 3.630, 1.482], [0.911, -1.130, 4.481], [6.085, 5.610, -2.297]],
  "species": ["Y", "Bi", "Bi", "Bi", "Bi", "Bi"],
  "frac_coords": [[0.000, 0.000, 0.000], [0.500, 0.500, 0.000], [0.500, 0.834, 0.668], [0.000, 0.651, 0.303], [0.500, 0.166, 0.332], [0.000, 0.349, 0.697]]
}